Compound: Rb2BSe3
Source: Alexandria
Functional: GGA-PBE
Structure: relaxed

```
data_Rb2BSe3
_chemical_formula_sum 'Rb16 B8 Se24'
_symmetry_space_group_name_H-M 'F m m m'
_symmetry_Int_Tables_number 69
_symmetry_space_group_name_Hall '-F 2 2'
_cell_length_a 9.736
_cell_length_b 12.145
_cell_length_c 15.085
_cell_angle_alpha 90.00
_cell_angle_beta 90.00
_cell_angle_gamma 90.00
loop_
_atom_site_label
_atom_site_fract_x
_atom_site_fract_y
_atom_site_fract_z
Rb1 0.234 0.000 0.000
Rb2 0.250 0.250 0.250
B1 0.000 0.000 0.321
Se1 0.000 0.000 0.192
Se2 0.000 0.138 0.389
```

Values from the calculation:
* total energy: -3.8561 eV/atom
* polymorph energy (0 for the lowest one): 0 meV per atom